Entry 1:
Entry from Alexandria via LeMat-Bulk: Li4ZnCu3 after structural relaxation (PBE-GGA).

Space-group type = C2/m
Relative energy among the computed polymorphs = 0.000 kcal/mol of atoms
Energy relative to the elements = -0.029 eV/atom

Cell lengths 8.9666, 8.9666, 4.5941 Å; angles 94.60, 94.60, 17.21 degrees
Fractional positions:
Li  0.1211  0.1211  0.3800
Li  0.2444  0.2444  0.7640
Li  0.7556  0.7556  0.2360
Li  0.8789  0.8789  0.6200
Zn  0.0000  0.0000  0.0000
Cu  0.3797  0.3797  0.1237
Cu  0.5000  0.5000  0.5000
Cu  0.6203  0.6203  0.8763

Entry 2:
Entry from Alexandria via LeMat-Bulk: PrSm6S8 after structural relaxation (PBE-GGA).

Space-group type = Fm-3m
Relative energy among the computed polymorphs = 0.000 kcal/mol of atoms

Cell lengths 8.0163, 8.0163, 8.0163 Å; angles 60.00, 60.00, 60.00 degrees
Fractional positions:
Pr  0.0000  0.0000  0.0000
Sm  0.0000  0.0000  0.5000
Sm  0.0000  0.5000  0.0000
Sm  0.0000  0.5000  0.5000
Sm  0.5000  0.0000  0.0000
Sm  0.5000  0.0000  0.5000
Sm  0.5000  0.5000  0.0000
S  0.2500  0.2500  0.2500
S  0.2543  0.2543  0.7457
S  0.2543  0.7457  0.2543
S  0.2543  0.7457  0.7457
S  0.7457  0.2543  0.2543
S  0.7457  0.2543  0.7457
S  0.7457  0.7457  0.2543
S  0.7500  0.7500  0.7500

Entry 3:
Entry from Alexandria via LeMat-Bulk: YHf3Au after structural relaxation (PBE-GGA).

Space-group type = Pm-3m
Relative energy among the computed polymorphs = 25.572 kcal/mol of atoms
Energy relative to the elements = 1.625 eV/atom

Cell lengths 5.1027, 5.1027, 5.1027 Å; angles 90.00, 90.00, 90.00 degrees
Fractional positions:
Y  0.0000  0.0000  0.0000
Hf  0.0000  0.0000  0.5000
Hf  0.0000  0.5000  0.0000
Hf  0.5000  0.0000  0.0000
Au  0.5000  0.5000  0.5000

Entry 4:
Entry from Alexandria via LeMat-Bulk: TaBeIn2 after structural relaxation (PBE-GGA).

Space-group type = I-4m2
Energy relative to the elements = 0.383 eV/atom

Cell lengths 5.3984, 5.3984, 5.3984 Å; angles 136.73, 136.73, 62.86 degrees
Fractional positions:
Ta  0.0000  0.0000  0.0000
Be  0.2500  0.7500  0.5000
In  0.5000  0.5000  0.0000
In  0.7500  0.2500  0.5000